La4TbPm3Te8: relaxed, PBE.

Cell lengths 9.0355, 9.0163, 9.0321 Å; angles 120.03, 120.01, 90.00 degrees
Positions (direct):
La1 0.5000 0.0000 0.0000
La2 0.5000 0.0000 0.5000
La3 0.0000 0.0000 0.0000
La4 0.0000 0.0000 0.5000
Tb1 0.0000 0.5000 0.0000
Pm1 0.5000 0.5000 0.0000
Pm2 0.5000 0.5000 0.5000
Pm3 0.0000 0.5000 0.5000
Te1 0.2447 0.7398 0.9951
Te2 0.2447 0.7398 0.4895
Te3 0.2524 0.2573 0.5049
Te4 0.7504 0.7398 0.9951
Te5 0.2496 0.2602 0.0049
Te6 0.7476 0.7427 0.4951
Te7 0.7553 0.2602 0.5105
Te8 0.7553 0.2602 0.0049

The value obtained for the volume is 520 Å³/cell. The uncorrected formation energy comes out at -1489 meV/atom. The calculation puts the total magnetization at 0.000 μB/cell. As for the symmetry: R-3m, No. 166.